1.
Here is crystalline LiIn2Ga2 at its relaxed geometry from the Alexandria database. Energies are from PBE.

abc: 7.3555 7.3555 4.0890
angles: 90.00 90.00 90.00
Atoms (fractional coordinates):
Ga: 0.3730 0.8730 0.0000
Ga: 0.6270 0.1270 0.0000
Ga: 0.8730 0.6270 0.0000
Ga: 0.1270 0.3730 0.0000
In: 0.6789 0.8211 0.5000
In: 0.3211 0.1789 0.5000
In: 0.8211 0.3211 0.5000
In: 0.1789 0.6789 0.5000
Li: 0.5000 0.5000 0.0000
Li: 0.0000 0.0000 0.0000

Output
Mass density ... 5.64 Mg/m³
Total energy ... -2.745 eV/atom
Formation energy ... -0.06 eV per atom
Space group ... P4/mbm (127)

---

2.
Here is crystalline SrYAs2Rh5 at its relaxed geometry from the Alexandria database. Energies are from PBE.

abc: 4.3115 4.3115 8.8192
angles: 90.00 90.00 90.00
Atoms (fractional coordinates):
Rh: 0.0000 0.5000 0.2592
Rh: 0.5000 0.0000 0.7408
Rh: 0.5000 0.0000 0.2592
Rh: 0.0000 0.5000 0.7408
Rh: 0.5000 0.5000 0.5000
As: 0.5000 0.5000 0.1476
As: 0.5000 0.5000 0.8524
Sr: 0.0000 0.0000 0.5000
Y: 0.0000 0.0000 0.0000

Output
Mass density ... 8.52 Mg/m³
Total energy ... -6.544 eV/atom
Formation energy ... -0.52 eV per atom
Space group ... P4/mmm (123)

---

3.
Here is crystalline YCS3 at its relaxed geometry from the Alexandria database. Energies are from PBE.

abc: 5.2280 5.2280 5.2280
angles: 90.00 90.00 90.00
Site moments in Bohr magnetons follow the coordinates.
Atoms (fractional coordinates):
Y: 0.0000 0.0000 0.0000  -0.01
S: 0.5000 0.0000 0.0000  0.07
S: 0.0000 0.5000 0.0000  0.09
S: 0.0000 0.0000 0.5000  0.09
C: 0.5000 0.5000 0.5000  0.01

Output
Mass density ... 2.29 Mg/m³
Total energy ... -4.330 eV/atom
Space group ... Pm-3m (221)

---

Number 1: volume 221 Å³ per cell. Number 2: volume 164 Å³ per cell. Number 3: volume 143 Å³ per cell.